(1)
The following is a DFT calculation (PBE) of a relaxed Li5Ag3Hg4 crystal.

The density is 8.364 g/cm³. As for the total magnetic moment: 0.0 μB/cell. Its formation energy is -3.4 kcal/mol of atoms. Its density of states at the Fermi level is 0.3376 states/eV per atom.

The space group is C2/m (No. 12) and the conventional cell measures 13.516, 4.924 and 7.953 Å, with angles of 90.00, 119.45 and 90.00 degrees. The asymmetric unit holds Li at (0.000, 0.000, 0.000), Li at (0.070, 0.500, 0.726), Li at (0.179, 0.500, 0.365), Ag at (0.000, 0.500, 0.000), Ag at (0.221, 0.000, 0.245), Hg at (0.075, 0.000, 0.411) and Hg at (0.204, 0.000, 0.862).

***

(2)
The following is a DFT calculation (PBE) of a relaxed Li2ScBiS4 crystal.

The density is 4.114 g/cm³. As for the total magnetic moment: 0.0 μB/cell. As for the formation energy from raw total energies: -118.9 kJ/mol of atoms. Its density of states at the Fermi level is 0.0000 states/eV per atom.

The space group is P2/m (No. 10) and the conventional cell measures 6.588, 3.833 and 6.734 Å, with angles of 90.00, 109.96 and 90.00 degrees. The asymmetric unit holds Li at (0.000, 0.000, 0.000), Li at (0.000, 0.500, 0.500), Sc at (0.500, 0.000, 0.500), Bi at (0.500, 0.500, 0.000), S at (0.245, 0.000, 0.727) and S at (0.257, 0.500, 0.267).

***

(3)
The following is a DFT calculation (PBE) of a relaxed Re2SbIr crystal.

The density is 17.542 g/cm³. As for the total magnetic moment: 0.0 μB/cell. As for the formation energy from raw total energies: 53.2 kJ/mol of atoms. Its density of states at the Fermi level is 0.9501 states/eV per atom.

The space group is Cmmm (No. 65) and the conventional cell measures 5.346, 8.319 and 2.922 Å, with angles of 90.00, 90.00 and 90.00 degrees. The asymmetric unit holds Re at (0.250, 0.250, 0.000), Sb at (0.000, 0.000, 0.500) and Ir at (0.000, 0.500, 0.500).

***

(4)
The following is a DFT calculation (PBE) of a relaxed Rb2BaSe2O6 crystal.

The density is 3.008 g/cm³. As for the total magnetic moment: 0.0 μB/cell. As for the formation energy from raw total energies: -156.1 kJ/mol of atoms. Its density of states at the Fermi level is 0.0000 states/eV per atom.

The space group is R-3m (No. 166, hexagonal axes) and the conventional cell measures 6.5322, 6.5322 and 25.1913 Å, with angles of 90.00, 90.00 and 120.00 degrees. The asymmetric unit holds Rb at (0.0000, 0.0000, 0.2203), Ba at (0.0000, 0.0000, 0.5000), Se at (0.0000, 0.0000, 0.0799) and O at (0.0586, 0.5293, 0.7763).

***

(5)
The following is a DFT calculation (PBE) of a relaxed LaSi10 crystal.

The density is 3.689 g/cm³. As for the total magnetic moment: 0.0 μB/cell. As for the formation energy from raw total energies: 1.6 kJ/mol of atoms. Its density of states at the Fermi level is 0.3891 states/eV per atom.

The space group is P6_3/mmc (No. 194) and the conventional cell measures 9.5633, 9.5633 and 4.7716 Å, with angles of 90.00, 90.00 and 120.00 degrees. The asymmetric unit holds La at (0.3333, 0.6667, 0.2500), Si at (0.0000, 0.0000, 0.2500), Si at (0.0456, 0.5228, 0.7500), Si at (0.1435, 0.2870, 0.2500) and Si at (0.1835, 0.3671, 0.7500).

***

(6)
The following is a DFT calculation (PBE) of a relaxed SrCa2Cr crystal.

The density is 1.748 g/cm³. As for the total magnetic moment: 18.8 μB/cell. Its formation energy is 23.7 kcal/mol of atoms. Its density of states at the Fermi level is 1.1927 states/eV per atom.

The space group is I-42d (No. 122) and the conventional cell measures 6.635, 6.635 and 18.964 Å, with angles of 90.00, 90.00 and 90.00 degrees. The asymmetric unit holds Sr at (0.000, 0.000, 0.000), Ca at (0.001, 0.750, 0.625) and Cr at (0.000, 0.000, 0.500).

***

(7)
The following is a DFT calculation (PBE) of a relaxed ThTl6I12 crystal.

The density is 5.432 g/cm³. As for the total magnetic moment: 0.0 μB/cell. As for the formation energy from raw total energies: -64.8 kJ/mol of atoms. Its density of states at the Fermi level is 1.0130 states/eV per atom.

The space group is R-3 (No. 148, hexagonal axes) and the conventional cell measures 14.9204, 14.9204 and 14.1801 Å, with angles of 90.00, 90.00 and 120.00 degrees. The asymmetric unit holds Th at (0.0000, 0.0000, 0.0000), Tl at (0.0552, 0.2672, 0.6225), I at (0.0397, 0.2279, 0.3803) and I at (0.0453, 0.1885, 0.8776).

***

(8)
The following is a DFT calculation (PBE) of a relaxed Sr2US4 crystal.

The density is 4.756 g/cm³. As for the total magnetic moment: 4.0 μB/cell. As for the formation energy from raw total energies: -176.5 kJ/mol of atoms. Its density of states at the Fermi level is 0.6149 states/eV per atom.

The space group is Pbam (No. 55) and the conventional cell measures 7.375, 12.176 and 4.210 Å, with angles of 90.00, 90.00 and 90.00 degrees. The asymmetric unit holds Sr at (0.084, 0.182, 0.000), U at (0.000, 0.500, 0.500), S at (0.133, 0.703, 0.500) and S at (0.229, 0.453, 0.000).

***

(9)
The following is a DFT calculation (PBE) of a relaxed CsTaSn2 crystal.

The density is 8.061 g/cm³. As for the total magnetic moment: 8.4 μB/cell. Its formation energy is 22.3 kcal/mol of atoms. Its density of states at the Fermi level is 1.8685 states/eV per atom.

The space group is Fm-3m (No. 225) and the conventional cell measures 7.687, 7.687 and 7.687 Å, with angles of 90.00, 90.00 and 90.00 degrees. The asymmetric unit holds Cs at (0.000, 0.000, 0.000), Ta at (0.000, 0.000, 0.500) and Sn at (0.250, 0.250, 0.250).

***

(10)
The following is a DFT calculation (PBE) of a relaxed NaCrCo2 crystal.

The density is 5.566 g/cm³. As for the total magnetic moment: 0.0 μB/cell. Its formation energy is 21.7 kcal/mol of atoms. Its density of states at the Fermi level is 1.3244 states/eV per atom.

The space group is I-42d (No. 122) and the conventional cell measures 6.543, 6.543 and 5.375 Å, with angles of 90.00, 90.00 and 90.00 degrees. The asymmetric unit holds Na at (0.000, 0.000, 0.000), Cr at (0.000, 0.000, 0.500) and Co at (0.193, 0.250, 0.625).

***

(11)
The following is a DFT calculation (PBE) of a relaxed CrNiP2 crystal.

The density is 4.903 g/cm³. As for the total magnetic moment: 0.0 μB/cell. Its formation energy is 0.8 kcal/mol of atoms. Its density of states at the Fermi level is 0.4353 states/eV per atom.

The space group is P4mm (No. 99) and the conventional cell measures 2.575, 2.575 and 8.820 Å, with angles of 90.00, 90.00 and 90.00 degrees. The asymmetric unit holds Cr at (0.000, 0.000, 0.000), Ni at (0.500, 0.500, 0.207), P at (0.000, 0.000, 0.379) and P at (0.500, 0.500, 0.810).

***

(12)
The following is a DFT calculation (PBE) of a relaxed LiSm2Hg8 crystal.

The density is 11.901 g/cm³. As for the total magnetic moment: 0.0 μB/cell. Its formation energy is -7.1 kcal/mol of atoms. Its density of states at the Fermi level is 0.4989 states/eV per atom.

The space group is C2/m (No. 12) and the conventional cell measures 16.538, 5.060 and 7.013 Å, with angles of 90.00, 114.60 and 90.00 degrees. The asymmetric unit holds Li at (0.000, 0.000, 0.000), Sm at (0.199, 0.500, 0.696), Hg at (0.001, 0.500, 0.722), Hg at (0.127, 0.000, 0.405), Hg at (0.131, 0.000, 0.856) and Hg at (0.165, 0.500, 0.166).

***

(13)
The following is a DFT calculation (PBE) of a relaxed La2PmPb3 crystal.

The density is 9.341 g/cm³. As for the total magnetic moment: 0.0 μB/cell. Its formation energy is -12.8 kcal/mol of atoms. Its density of states at the Fermi level is 0.9526 states/eV per atom.

The space group is Imma (No. 74) and the conventional cell measures 5.158, 9.270 and 15.532 Å, with angles of 90.00, 90.00 and 90.00 degrees. The asymmetric unit holds La at (0.000, 0.250, 0.000), La at (0.000, 0.250, 0.334), Pm at (0.000, 0.250, 0.668), Pb at (0.000, 0.000, 0.500) and Pb at (0.000, 0.004, 0.832).

***

(14)
The following is a DFT calculation (PBE) of a relaxed CeNd4Dy5 crystal.

The density is 7.437 g/cm³. As for the total magnetic moment: 2.3 μB/cell. Its formation energy is 5.7 kcal/mol of atoms. Its density of states at the Fermi level is 2.0431 states/eV per atom.

The space group is C2/m (No. 12) and the conventional cell measures 15.294, 5.852 and 9.845 Å, with angles of 90.00, 129.18 and 90.00 degrees. The asymmetric unit holds Ce at (0.000, 0.000, 0.000), Nd at (0.233, 0.500, 0.397), Nd at (0.247, 0.000, 0.169), Dy at (0.000, 0.500, 0.500), Dy at (0.070, 0.000, 0.725) and Dy at (0.080, 0.500, 0.927).

***

(15)
The following is a DFT calculation (PBE) of a relaxed NaAsRuO5 crystal.

The density is 4.617 g/cm³. As for the total magnetic moment: 0.0 μB/cell. As for the formation energy from raw total energies: -123.2 kJ/mol of atoms. Its density of states at the Fermi level is 0.0979 states/eV per atom.

The space group is C2/c (No. 15) and the conventional cell measures 6.855, 8.933 and 7.189 Å, with angles of 90.00, 114.25 and 90.00 degrees. The asymmetric unit holds Na at (0.000, 0.170, 0.250), As at (0.000, 0.184, 0.750), Ru at (0.000, 0.500, 0.000), O at (0.000, 0.452, 0.250), O at (0.116, 0.289, 0.618) and O at (0.183, 0.064, 0.921).

***

(16)
The following is a DFT calculation (PBE) of a relaxed ScNb3Br crystal.

The density is 6.123 g/cm³. As for the total magnetic moment: 0.0 μB/cell. As for the formation energy from raw total energies: 78.5 kJ/mol of atoms. Its density of states at the Fermi level is 1.1655 states/eV per atom.

The space group is Pm-3m (No. 221) and the conventional cell measures 4.783, 4.783 and 4.783 Å, with angles of 90.00, 90.00 and 90.00 degrees. The asymmetric unit holds Sc at (0.000, 0.000, 0.000), Nb at (0.000, 0.500, 0.500) and Br at (0.500, 0.500, 0.500).

***

(17)
The following is a DFT calculation (PBE) of a relaxed BAsRu2O crystal.

The density is 6.258 g/cm³. As for the total magnetic moment: 2.8 μB/cell. As for the formation energy from raw total energies: 165.2 kJ/mol of atoms. Its density of states at the Fermi level is 1.0087 states/eV per atom.

The space group is P4/mmm (No. 123) and the conventional cell measures 4.638, 4.638 and 3.748 Å, with angles of 90.00, 90.00 and 90.00 degrees. The asymmetric unit holds B at (0.000, 0.000, 0.000), As at (0.000, 0.000, 0.500), Ru at (0.000, 0.500, 0.500) and O at (0.500, 0.500, 0.000).

***

(18)
The following is a DFT calculation (PBE) of a relaxed Pa2Pd5Rh crystal.

The density is 12.849 g/cm³. As for the total magnetic moment: 2.2 μB/cell. Its formation energy is -18.0 kcal/mol of atoms. Its density of states at the Fermi level is 0.9461 states/eV per atom.

The space group is Pbam (No. 55) and the conventional cell measures 5.891, 11.768 and 4.090 Å, with angles of 90.00, 90.00 and 90.00 degrees. The asymmetric unit holds Pa at (0.232, 0.120, 0.000), Pd at (0.000, 0.500, 0.500), Pd at (0.016, 0.749, 0.500), Pd at (0.237, 0.372, 0.000) and Rh at (0.000, 0.000, 0.500).

***

(19)
The following is a DFT calculation (PBE) of a relaxed LiHf crystal.

The density is 8.032 g/cm³. As for the total magnetic moment: 0.0 μB/cell. Its formation energy is 7.8 kcal/mol of atoms. Its density of states at the Fermi level is 0.4634 states/eV per atom.

The space group is Pnma (No. 62) and the conventional cell measures 10.743, 4.710 and 6.061 Å, with angles of 90.00, 90.00 and 90.00 degrees. The asymmetric unit holds Li at (0.070, 0.250, 0.086), Li at (0.153, 0.750, 0.827), Hf at (0.074, 0.250, 0.574) and Hf at (0.197, 0.750, 0.331).

***

(20)
The following is a DFT calculation (PBE) of a relaxed Ba4RhI5 crystal.

The density is 4.372 g/cm³. As for the total magnetic moment: 0.3 μB/cell. As for the formation energy from raw total energies: -131.4 kJ/mol of atoms.

The space group is C2/m (No. 12) and the conventional cell measures 21.408, 4.918 and 9.637 Å, with angles of 90.00, 105.54 and 90.00 degrees. The asymmetric unit holds Ba at (0.001, 0.000, 0.227), Ba at (0.153, 0.500, 0.095), Rh at (0.000, 0.500, 0.000), I at (0.000, 0.500, 0.500), I at (0.168, 0.000, 0.349) and I at (0.170, 0.000, 0.846).

***

(21)
The following is a DFT calculation (PBE) of a relaxed CsSi2Ge2 crystal.

The density is 4.074 g/cm³. As for the total magnetic moment: 0.0 μB/cell. As for the formation energy from raw total energies: 5.0 kJ/mol of atoms. Its density of states at the Fermi level is 0.1333 states/eV per atom.

The space group is I4/mmm (No. 139) and the conventional cell measures 4.149, 4.149 and 15.832 Å, with angles of 90.00, 90.00 and 90.00 degrees. The asymmetric unit holds Cs at (0.000, 0.000, 0.000), Si at (0.000, 0.500, 0.250) and Ge at (0.000, 0.000, 0.346).

***

(22)
The following is a DFT calculation (PBE) of a relaxed Er6RhSe3S2 crystal.

The density is 8.617 g/cm³. As for the total magnetic moment: 0.0 μB/cell. As for the formation energy from raw total energies: -159.5 kJ/mol of atoms. Its density of states at the Fermi level is 0.4329 states/eV per atom.

The space group is C2/m (No. 12) and the conventional cell measures 17.570, 3.923 and 8.105 Å, with angles of 90.00, 103.85 and 90.00 degrees. The asymmetric unit holds Er at (0.003, 0.000, 0.231), Er at (0.161, 0.500, 0.092), Er at (0.170, 0.500, 0.571), Rh at (0.000, 0.500, 0.000), Se at (0.000, 0.500, 0.500), Se at (0.171, 0.000, 0.830) and S at (0.169, 0.000, 0.337).